Entry 1:
## DyMnSi2Os (PBE)

Data for an optimized crystal structure of DyMnSi2Os.

POSCAR file:
```
DyMnSi2Os
1.0
3.997 0.000 0.000
0.000 3.997 0.000
-1.998 -1.998 5.121
Dy Mn Si Os
1 1 2 1
Direct
0.000 0.000 0.000
0.250 0.750 0.500
0.620 0.620 0.239
0.380 0.380 0.761
0.750 0.250 0.500
```

## Properties
- symmetry = I-4m2, No. 119
- N(E_F) (states/eV/cell) = 1.21
- ΔE_f (raw) (eV per atom) = -0.706


Entry 2:
## TbScH4 (PBE)

Data for an optimized crystal structure of TbScH4.

POSCAR file:
```
TbScH4
1.0
4.543 0.000 -2.043
-0.919 4.450 -2.043
0.028 0.035 6.136
Tb Sc H
2 2 8
Direct
0.250 0.750 0.500
0.500 0.500 0.000
0.000 0.000 0.000
0.750 0.250 0.500
0.105 0.125 0.750
0.875 0.895 0.250
0.105 0.625 0.750
0.375 0.355 0.250
0.645 0.125 0.750
0.645 0.625 0.750
0.375 0.895 0.250
0.875 0.355 0.250
```

## Properties
- symmetry = I4_1/amd, No. 141
- N(E_F) (states/eV/cell) = 3.57
- calculated total energy (eV per atom) = -4.734


Entry 3:
## Sm4BiPb (PBE)

Data for an optimized crystal structure of Sm4BiPb.

POSCAR file:
```
Sm4BiPb
1.0
6.458 -0.398 0.000
-2.111 8.398 0.000
-2.173 -4.000 7.191
Sm Bi Pb
8 2 2
Direct
0.042 0.216 0.827
0.771 0.705 0.616
0.285 0.611 0.827
0.346 0.912 0.616
0.654 0.088 0.384
0.715 0.389 0.173
0.229 0.295 0.384
0.958 0.784 0.173
0.366 0.616 0.231
0.634 0.384 0.769
0.252 0.002 0.003
0.748 0.998 0.997
```

## Properties
- symmetry = C2/c, No. 15
- N(E_F) (states/eV/cell) = 14.98
- formation energy (meV/atom) = -436.3


Entry 4:
## CaLaCr2Te (PBE)

Data for an optimized crystal structure of CaLaCr2Te.

POSCAR file:
```
CaLaCr2Te
1.0
-1.833 -0.072 4.190
-5.217 -1.647 -2.310
1.190 -4.394 0.445
Cr Ca Te La
2 1 1 1
Direct
0.000 0.000 0.500
0.500 0.000 0.000
0.000 0.000 0.000
0.500 0.500 0.500
0.000 0.500 0.000
```

## Properties
- symmetry = P4/mmm, No. 123
- N(E_F) (states/eV/cell) = 10.97
- ΔE_f (raw) (eV per atom) = 1.661


Entry 5:
## CuIrCl3 (PBE)

Data for an optimized crystal structure of CuIrCl3.

POSCAR file:
```
CuIrCl3
1.0
4.800 0.000 0.000
0.000 4.800 0.000
0.000 0.000 4.800
Ir Cu Cl
1 1 3
Direct
0.000 0.000 0.000
0.500 0.500 0.500
0.000 0.500 0.000
0.000 0.000 0.500
0.500 0.000 0.000
```

## Properties
- symmetry = Pm-3m, No. 221
- N(E_F) (states/eV/cell) = 2.49
- polymorph energy (0 for the lowest one) (eV per atom) = 0.000
- ΔE_f (raw) (eV per atom) = 0.348


Entry 6:
## CaSi2W (PBE)

Data for an optimized crystal structure of CaSi2W.

POSCAR file:
```
CaSi2W
1.0
4.960 0.000 0.000
0.000 4.960 0.000
2.480 2.480 8.143
Ca Si W
2 4 2
Direct
0.500 0.500 0.000
0.250 0.750 0.500
0.875 0.125 0.250
0.875 0.625 0.250
0.375 0.125 0.750
0.875 0.125 0.750
0.000 0.000 0.000
0.750 0.250 0.500
```

## Properties
- symmetry = I4_1/amd, No. 141
- N(E_F) (states/eV/cell) = 5.04
- polymorph energy (0 for the lowest one) (eV per atom) = 0.422
- ΔE_f (raw) (eV per atom) = 0.275


Entry 7:
## BaGaBi (PBE)

Data for an optimized crystal structure of BaGaBi.

POSCAR file:
```
BaGaBi
1.0
4.756 -0.452 0.000
-1.980 4.347 0.000
0.000 0.000 10.726
Ga Ba Bi
2 2 2
Direct
0.833 0.167 0.470
0.167 0.833 0.970
0.499 0.501 0.648
0.501 0.499 0.148
0.833 0.167 0.871
0.167 0.833 0.371
```

## Properties
- symmetry = Cmc2_1, No. 36
- N(E_F) (states/eV/cell) = 0.84
- formation energy (meV/atom) = -571.1
- polymorph energy (0 for the lowest one) (eV per atom) = 0.031


Entry 8:
## VGaFeRe (PBE)

Data for an optimized crystal structure of VGaFeRe.

POSCAR file:
```
VGaFeRe
1.0
4.217 0.000 0.000
2.109 3.652 0.000
2.109 1.217 3.443
Re Fe Ga V
1 1 1 1
Direct
0.500 0.500 0.500
0.000 0.000 0.000
0.250 0.250 0.250
0.750 0.750 0.750
```

## Properties
- symmetry = F-43m, No. 216
- N(E_F) (states/eV/cell) = 3.13
- formation energy (meV/atom) = -101.4